1.
Compound: Hf3ScOs
Source: Alexandria
Functional: PBE-GGA
Structure: optimized geometry Values from VASP.

For the formation energy, the calculation gives 151 kJ/mol of formula units. The energy above the lowest structure with this stoichiometry is 396 meV per atom. The space group is Pm-3m, No. 221.

The structure in Quantum ESPRESSO input format:
```
&SYSTEM
  ibrav = 0, nat = 5, ntyp = 3
/
ATOMIC_SPECIES
Hf 178.49 Hf.upf
Os 190.23 Os.upf
Sc 44.96 Sc.upf
ATOMIC_POSITIONS crystal
Hf 0.500 0.000 0.000
Os 0.000 0.000 0.000
Sc 0.500 0.500 0.500
Hf 0.000 0.500 0.000
Hf 0.000 0.000 0.500
CELL_PARAMETERS angstrom
5.030 0.000 0.000
0.000 5.030 0.000
0.000 0.000 5.030
```

---

2.
Compound: Ce2ThCoHg
Source: Alexandria
Functional: PBE-GGA
Structure: optimized geometry Values from VASP.

For the formation energy, the calculation gives -53 kJ/mol of formula units. The space group is P4/mmm, No. 123.

The structure in Quantum ESPRESSO input format:
```
&SYSTEM
  ibrav = 0, nat = 5, ntyp = 4
/
ATOMIC_SPECIES
Ce 140.12 Ce.upf
Co 58.93 Co.upf
Th 232.04 Th.upf
Hg 200.59 Hg.upf
ATOMIC_POSITIONS crystal
Ce 0.500 0.000 0.000
Co 0.000 0.000 0.000
Th 0.000 0.000 0.500
Ce 0.000 0.500 0.000
Hg 0.500 0.500 0.500
CELL_PARAMETERS angstrom
5.036 0.000 0.000
0.000 5.036 0.000
0.000 0.000 5.419
```

---

3.
Compound: CaPtI2N
Source: Alexandria
Functional: PBE-GGA
Structure: optimized geometry Values from VASP.

The energy above the lowest structure with this stoichiometry is 0 meV per atom. The space group is P4/mmm, No. 123. The calculation puts the uncorrected formation energy at -0.113 eV/atom.

The structure in Quantum ESPRESSO input format:
```
&SYSTEM
  ibrav = 0, nat = 5, ntyp = 4
/
ATOMIC_SPECIES
Pt 195.08 Pt.upf
Ca 40.08 Ca.upf
I 126.90 I.upf
N 14.01 N.upf
ATOMIC_POSITIONS crystal
Pt 0.000 0.000 0.000
Ca 0.500 0.500 0.500
I 0.500 0.000 0.000
N 0.000 0.000 0.500
I 0.000 0.500 0.000
CELL_PARAMETERS angstrom
5.960 0.000 0.000
0.000 5.960 0.000
0.000 0.000 3.775
```

---

4.
Compound: Li2GePt2
Source: Alexandria
Functional: PBE-GGA
Structure: optimized geometry Values from VASP.

For the formation energy, the calculation gives -99 kJ/mol of formula units. The energy above the lowest structure with this stoichiometry is 265 meV per atom. The space group is I4/mmm, No. 139.

The structure in Quantum ESPRESSO input format:
```
&SYSTEM
  ibrav = 0, nat = 5, ntyp = 3
/
ATOMIC_SPECIES
Pt 195.08 Pt.upf
Li 6.94 Li.upf
Ge 72.64 Ge.upf
ATOMIC_POSITIONS crystal
Pt 0.397 0.397 0.205
Li 0.250 0.750 0.500
Ge 0.000 0.000 0.000
Li 0.750 0.250 0.500
Pt 0.603 0.603 0.795
CELL_PARAMETERS angstrom
-0.063 -1.067 -3.062
3.001 -1.181 0.349
-1.194 -7.244 0.831
```

---

5.
Compound: AcPdCl6
Source: Alexandria
Functional: PBE-GGA
Structure: optimized geometry Values from VASP.

The space group is P-1, No. 2. The calculation puts the uncorrected formation energy at -1.296 eV/atom.

The structure in Quantum ESPRESSO input format:
```
&SYSTEM
  ibrav = 0, nat = 8, ntyp = 3
/
ATOMIC_SPECIES
Cl 35.45 Cl.upf
Ac 227.00 Ac.upf
Pd 106.42 Pd.upf
ATOMIC_POSITIONS crystal
Cl 0.601 0.216 0.222
Cl 0.212 0.952 0.232
Ac 0.500 0.500 0.500
Cl 0.064 0.389 0.762
Cl 0.399 0.784 0.778
Cl 0.788 0.048 0.768
Pd 0.000 0.000 0.000
Cl 0.936 0.611 0.238
CELL_PARAMETERS angstrom
6.327 0.202 -0.109
3.326 5.967 -0.265
3.106 1.832 6.003
```

---

6.
Compound: Ce2SmAl
Source: Alexandria
Functional: PBE-GGA
Structure: optimized geometry Values from VASP.

For the formation energy, the calculation gives 18 kJ/mol of formula units. The energy above the lowest structure with this stoichiometry is 219 meV per atom. The space group is Fm-3m, No. 225.

The structure in Quantum ESPRESSO input format:
```
&SYSTEM
  ibrav = 0, nat = 4, ntyp = 3
/
ATOMIC_SPECIES
Al 26.98 Al.upf
Ce 140.12 Ce.upf
Sm 150.36 Sm.upf
ATOMIC_POSITIONS crystal
Al 0.500 0.500 0.500
Ce 0.750 0.750 0.750
Sm 0.000 0.000 0.000
Ce 0.250 0.250 0.250
CELL_PARAMETERS angstrom
5.372 0.000 0.000
2.686 4.652 0.000
2.686 1.551 4.386
```